<1>
The following is a PBE calculation of a geometry-optimized PuZrSi2 structure, from Alexandria via LeMat-Bulk.

Geometry as CIF:
```
data_PuZrSi2
_chemical_formula_sum 'Pu1 Zr1 Si2'
_space_group_name_H-M_alt 'P 1'
_space_group_IT_number 1
_space_group_name_Hall 'P 1'
_cell_length_a 3.081
_cell_length_b 3.081
_cell_length_c 7.982
_cell_angle_alpha 90.00
_cell_angle_beta 90.00
_cell_angle_gamma 90.00
loop_
_atom_site_label
_atom_site_fract_x
_atom_site_fract_y
_atom_site_fract_z
Si1 0.000 0.000 0.741
Zr1 0.500 0.500 0.500
Si2 0.000 0.000 0.259
Pu1 0.500 0.500 0.000
```



<2>
The following is a PBE calculation of a geometry-optimized PuZrSi2 structure, from Alexandria via LeMat-Bulk.

Geometry as CIF:
```
data_PuZrSi2
_chemical_formula_sum 'Pu1 Zr1 Si2'
_space_group_name_H-M_alt 'P 1'
_space_group_IT_number 1
_space_group_name_Hall 'P 1'
_cell_length_a 3.832
_cell_length_b 3.832
_cell_length_c 7.162
_cell_angle_alpha 74.48
_cell_angle_beta 74.48
_cell_angle_gamma 60.00
loop_
_atom_site_label
_atom_site_fract_x
_atom_site_fract_y
_atom_site_fract_z
Si1 0.256 0.256 0.233
Pu1 0.500 0.500 0.500
Zr1 0.000 0.000 0.000
Si2 0.744 0.744 0.767
```



Pick the least stable structure from those above. Pick: <2>